Entry 1:
A relaxed structure of TlAgPS2. Source: the Alexandria database, functional PBE.

Output
For the energy above the most stable polymorph in this dataset, the calculation gives 0.0 kJ/mol of formula units. The value obtained for the total energy is -3.12 eV/atom. The value obtained for the formation energy (no corrections) is 0.660 eV per atom.

a = 5.0346 Å, b = 5.0346 Å, c = 4.8508 Å
α = 90.00°, β = 90.00°, γ = 90.00°
With the nearest neighbours (Å) after each atom.
Fractional positions:
1 Tl 0.0000 0.0000 0.0000  8 S 3.50, 4 P 3.56
2 Ag 0.5000 0.5000 0.5000  2 P 2.43, 4 S 2.52
3 P 0.5000 0.5000 0.0000  2 Ag 2.43
4 S 0.0000 0.5000 0.5000  2 Ag 2.52
5 S 0.5000 0.0000 0.5000  2 Ag 2.52

Entry 2:
A relaxed structure of VAgP2S6. Source: the Alexandria database, functional PBE.

Output
The value obtained for the total energy is -5.13 eV/atom. The value obtained for the formation energy (no corrections) is -0.378 eV per atom.

a = 7.3510 Å, b = 10.7969 Å, c = 5.9038 Å
α = 90.00°, β = 104.81°, γ = 90.00°
With the nearest neighbours (Å) after each atom.
Fractional positions:
1 V 0.0000 0.0694 0.2500  6 S 2.42-2.49
2 V 0.0000 0.9306 0.7500  6 S 2.42-2.49
3 Ag 0.0000 0.4362 0.2500  6 S 2.73-2.88
4 Ag 0.0000 0.5638 0.7500  6 S 2.73-2.88
5 P 0.1567 0.2486 0.7916  3 S 1.97-2.13
6 P 0.1567 0.7514 0.2916  3 S 1.97-2.13
7 P 0.8433 0.2486 0.7084  3 S 1.97-2.13
8 P 0.8433 0.7514 0.2084  3 S 1.97-2.13
9 S 0.2116 0.0804 0.9865  1 P 2.13
10 S 0.2116 0.9196 0.4865  1 P 2.13
11 S 0.2172 0.2283 0.4768  1 P 2.03
12 S 0.2172 0.7717 0.9768  1 P 2.03
13 S 0.2637 0.3963 0.9748  1 P 1.97
14 S 0.2637 0.6037 0.4748  1 P 1.97
15 S 0.7363 0.3963 0.5252  1 P 1.97
16 S 0.7363 0.6037 0.0252  1 P 1.97
17 S 0.7828 0.2283 0.0232  1 P 2.03
18 S 0.7828 0.7717 0.5232  1 P 2.03
19 S 0.7884 0.0804 0.5135  1 P 2.13
20 S 0.7884 0.9196 0.0135  1 P 2.13

Entry 3:
A relaxed structure of VAgP2S. Source: the Alexandria database, functional PBE.

Output
For the energy above the most stable polymorph in this dataset, the calculation gives 0.0 kJ/mol of formula units. The value obtained for the total energy is -5.09 eV/atom. The value obtained for the formation energy (no corrections) is 0.294 eV per atom.

a = 4.6065 Å, b = 4.6065 Å, c = 4.4898 Å
α = 90.00°, β = 90.00°, γ = 90.00°
With the nearest neighbours (Å) after each atom.
Fractional positions:
1 V 0.0000 0.0000 0.0000  2 S 2.24, 4 P 2.30
2 Ag 0.5000 0.5000 0.5000  8 P 3.22, 4 S 3.26
3 P 0.0000 0.5000 0.0000  2 V 2.30
4 P 0.5000 0.0000 0.0000  2 V 2.30
5 S 0.0000 0.0000 0.5000  2 V 2.24

Entry 4:
A relaxed structure of VAgPS2. Source: the Alexandria database, functional PBE.

Output
For the energy above the most stable polymorph in this dataset, the calculation gives 0.0 kJ/mol of formula units. The value obtained for the total energy is -4.98 eV/atom. The value obtained for the formation energy (no corrections) is 0.145 eV per atom.

a = 4.5567 Å, b = 4.5567 Å, c = 4.6432 Å
α = 90.00°, β = 90.00°, γ = 90.00°
With the nearest neighbours (Å) after each atom.
Fractional positions:
1 V 0.0000 0.0000 0.0000  4 S 2.28, 2 P 2.32
2 Ag 0.5000 0.5000 0.5000  4 P 3.22, 8 S 3.25
3 P 0.0000 0.0000 0.5000  2 V 2.32
4 S 0.0000 0.5000 0.0000  2 V 2.28
5 S 0.5000 0.0000 0.0000  2 V 2.28

Entry 5:
A relaxed structure of VAgPS2. Source: the Alexandria database, functional PBE.

Output
For the energy above the most stable polymorph in this dataset, the calculation gives 533.3 kJ/mol of formula units. The value obtained for the total energy is -3.88 eV/atom. The value obtained for the formation energy (no corrections) is 1.250 eV per atom.

a = 4.7838 Å, b = 4.7838 Å, c = 4.6734 Å
α = 90.00°, β = 90.00°, γ = 90.00°
With the nearest neighbours (Å) after each atom.
Fractional positions:
1 V 0.0000 0.0000 0.0000  8 S 3.34, 4 P 3.38
2 Ag 0.5000 0.5000 0.5000  2 P 2.34, 4 S 2.39
3 P 0.5000 0.5000 0.0000  2 Ag 2.34
4 S 0.0000 0.5000 0.5000  2 Ag 2.39
5 S 0.5000 0.0000 0.5000  2 Ag 2.39

Entry 6:
A relaxed structure of VAgP2S. Source: the Alexandria database, functional PBE.

Output
For the energy above the most stable polymorph in this dataset, the calculation gives 533.8 kJ/mol of formula units. The value obtained for the total energy is -3.98 eV/atom. The value obtained for the formation energy (no corrections) is 1.401 eV per atom.

a = 4.6982 Å, b = 4.6982 Å, c = 4.8056 Å
α = 90.00°, β = 90.00°, γ = 90.00°
With the nearest neighbours (Å) after each atom.
Fractional positions:
1 V 0.0000 0.0000 0.0000  4 S 3.32, 8 P 3.36
2 Ag 0.5000 0.5000 0.5000  4 P 2.35, 2 S 2.40
3 P 0.0000 0.5000 0.5000  2 Ag 2.35
4 P 0.5000 0.0000 0.5000  2 Ag 2.35
5 S 0.5000 0.5000 0.0000  2 Ag 2.40

Entry 7:
A relaxed structure of AgP2WS. Source: the Alexandria database, functional PBE.

Output
For the energy above the most stable polymorph in this dataset, the calculation gives 0.0 kJ/mol of formula units. The value obtained for the total energy is -5.65 eV/atom. The value obtained for the formation energy (no corrections) is 0.505 eV per atom.

a = 4.7690 Å, b = 4.7690 Å, c = 4.6254 Å
α = 90.00°, β = 90.00°, γ = 90.00°
With the nearest neighbours (Å) after each atom.
Fractional positions:
1 Ag 0.0000 0.0000 0.0000  8 P 3.32, 4 S 3.37
2 P 0.0000 0.5000 0.5000  2 W 2.38
3 P 0.5000 0.0000 0.5000  2 W 2.38
4 W 0.5000 0.5000 0.5000  2 S 2.31, 4 P 2.38
5 S 0.5000 0.5000 0.0000  2 W 2.31

Entry 8:
A relaxed structure of AgP2WS. Source: the Alexandria database, functional PBE.

Output
For the energy above the most stable polymorph in this dataset, the calculation gives 648.1 kJ/mol of formula units. The value obtained for the total energy is -4.30 eV/atom. The value obtained for the formation energy (no corrections) is 1.848 eV per atom.

a = 4.6307 Å, b = 4.6307 Å, c = 4.6388 Å
α = 90.00°, β = 90.00°, γ = 90.00°
With the nearest neighbours (Å) after each atom.
Fractional positions:
1 Ag 0.0000 0.0000 0.0000  4 P 2.32, 2 S 2.32
2 P 0.0000 0.5000 0.0000  2 Ag 2.32
3 P 0.5000 0.0000 0.0000  2 Ag 2.32
4 W 0.5000 0.5000 0.5000  4 S 3.27, 8 P 3.28
5 S 0.0000 0.0000 0.5000  2 Ag 2.32